VASP calculation (GGA-PBE) on crystalline TmTl3Cd2 at its relaxed geometry.

Values from the calculation:
* E: -13.87 eV per cell
* size of the total moment: 0.00 Bohr magnetons per cell

abc: 4.147 4.908 8.072
angles: 107.70 90.00 90.00
Element x y z (fractional)
Cd  0.000  0.664  0.328
Cd  0.000  0.336  0.672
Tm  0.000  0.000  0.000
Tl  0.500  0.500  0.000
Tl  0.500  0.169  0.338
Tl  0.500  0.831  0.662


VASP calculation (GGA-PBE) on crystalline UGa2PbBr8 at its relaxed geometry.

Values from the calculation:
* E: -45.76 eV per cell
* size of the total moment: 2.00 Bohr magnetons per cell
* uncorrected formation energy: -944 meV/atom

abc: 7.355 6.993 8.936
angles: 89.95 90.05 92.33
Last column: magnetic moment on the atom in μB.
Element x y z (fractional)
Br  0.851  0.224  0.231  -0.02
Br  0.857  0.228  0.769  -0.02
Br  0.311  0.228  0.001  -0.04
Br  0.143  0.772  0.231  -0.02
Br  0.689  0.772  0.999  -0.04
Br  0.334  0.267  0.500  0.00
Br  0.149  0.776  0.769  -0.02
Br  0.666  0.733  0.500  0.00
Pb  0.000  0.000  0.500  0.00
U  0.000  0.000  0.000  2.12
Ga  0.501  0.500  0.735  -0.01
Ga  0.499  0.500  0.265  -0.01


VASP calculation (GGA-PBE) on crystalline AcIn2Cu at its relaxed geometry.

Values from the calculation:
* E: -14.15 eV per cell
* size of the total moment: 0.00 Bohr magnetons per cell

abc: 3.598 3.598 7.857
angles: 90.00 90.00 90.00
Element x y z (fractional)
Ac  0.500  0.500  0.500
In  0.000  0.000  0.188
In  0.000  0.000  0.812
Cu  0.500  0.500  0.000


VASP calculation (GGA-PBE) on crystalline PrVN at its relaxed geometry.

Values from the calculation:
* E: -45.92 eV per cell
* size of the total moment: 0.00 Bohr magnetons per cell
* uncorrected formation energy: -246 meV/atom

abc: 4.081 3.761 7.247
angles: 105.04 106.35 90.00
Element x y z (fractional)
N  0.138  0.638  0.275
N  0.862  0.362  0.725
V  0.742  0.500  0.000
V  0.258  0.500  0.000
Pr  0.333  0.833  0.666
Pr  0.667  0.167  0.334


Which value of size of the total moment does entry 2 give? 2.00 Bohr magnetons per cell